CrMoOsAu2 after structural relaxation, computed with PBE.

Unit cell a=4.9964 b=4.6498 c=4.9964 alpha=90.00 beta=90.00 gamma=90.00
Each line ends with the local moment (μB).
Sites, in units of the cell vectors:
Cr 0.5000 0.5000 0.5000  0.20
Os 0.0000 0.5000 0.0000  0.58
Au 0.5000 0.0000 0.0000  0.02
Au 0.0000 0.0000 0.5000  0.03
Mo 0.0000 0.0000 0.0000  0.08

Summary:
The value obtained for the total energy is -5.5645 eV/atom. The calculation puts the total magnetization at 0.99 μB/f.u. The value obtained for the energy relative to the elements is 2.08 eV per atom.

Cr2MoPbAu after structural relaxation, computed with PBE.

Unit cell a=4.9986 b=5.0679 c=4.9986 alpha=90.00 beta=90.00 gamma=90.00
Each line ends with the local moment (μB).
Sites, in units of the cell vectors:
Cr 0.5000 0.0000 0.0000  3.72
Cr 0.0000 0.0000 0.5000  3.88
Pb 0.5000 0.5000 0.5000  -0.02
Au 0.0000 0.0000 0.0000  0.03
Mo 0.0000 0.5000 0.0000  -2.69

Summary:
The value obtained for the total energy is -6.0689 eV/atom. The calculation puts the total magnetization at 5.36 μB/f.u. The value obtained for the energy relative to the elements is 1.34 eV per atom.

CrMoPbAu2 after structural relaxation, computed with PBE.

Unit cell a=5.2124 b=4.4707 c=5.2124 alpha=90.00 beta=90.00 gamma=90.00
Each line ends with the local moment (μB).
Sites, in units of the cell vectors:
Au 0.0000 0.0000 0.5000  -0.10
Au 0.5000 0.0000 0.0000  -0.06
Mo 0.0000 0.0000 0.0000  -1.18
Pb 0.5000 0.5000 0.5000  -0.01
Cr 0.0000 0.5000 0.0000  2.57

Summary:
The value obtained for the total energy is -5.2250 eV/atom. The calculation puts the total magnetization at 1.34 μB/f.u. The value obtained for the energy relative to the elements is 0.92 eV per atom.

Cr2MoAuS after structural relaxation, computed with PBE.

Unit cell a=4.1738 b=4.4260 c=4.1738 alpha=90.00 beta=90.00 gamma=90.00
Sites, in units of the cell vectors:
Au 0.5000 0.5000 0.5000
S 0.0000 0.0000 0.0000
Cr 0.5000 0.0000 0.0000
Cr 0.0000 0.0000 0.5000
Mo 0.0000 0.5000 0.0000

Summary:
The value obtained for the total energy is -7.0508 eV/atom. The calculation puts the total magnetization at 0.00 μB/f.u. The value obtained for the formation energy (no corrections) is 2.23 eV/f.u.